VASP calculation (PBE) on crystalline VBr at its relaxed geometry.

Lattice parameters (Å, degrees): 3.159 3.159 8.417 90.00 90.00 120.00
Sites, in units of the cell vectors:
V 0.333 0.667 0.390
V 0.667 0.333 0.890
Br 0.333 0.667 0.692
Br 0.667 0.333 0.192

Values from the calculation:
space group	P6_3mc (186)
electronic total energy	-5.138	eV per atom

---

VASP calculation (PBE) on crystalline VBr at its relaxed geometry.

Lattice parameters (Å, degrees): 3.318 5.911 13.545 90.00 90.00 90.00
Sites, in units of the cell vectors:
V 0.000 0.965 0.688
V 0.500 0.035 0.812
V 0.500 0.035 0.188
V 0.000 0.965 0.312
V 0.000 0.430 0.000
V 0.500 0.570 0.500
Br 0.000 0.707 0.842
Br 0.500 0.293 0.658
Br 0.500 0.293 0.342
Br 0.000 0.707 0.158
Br 0.000 0.892 0.500
Br 0.500 0.108 0.000

Values from the calculation:
space group	Pmmn (59)
electronic total energy	-5.210	eV per atom

---

VASP calculation (PBE) on crystalline VBr at its relaxed geometry.

Lattice parameters (Å, degrees): 7.458 7.458 7.458 90.00 90.00 90.00
Sites, in units of the cell vectors:
V 0.250 0.000 0.500
V 0.750 0.000 0.500
V 0.000 0.500 0.250
V 0.000 0.500 0.750
V 0.500 0.250 0.000
V 0.500 0.750 0.000
Br 0.250 0.500 0.000
Br 0.750 0.500 0.000
Br 0.500 0.000 0.250
Br 0.500 0.000 0.750
Br 0.000 0.250 0.500
Br 0.000 0.750 0.500

Values from the calculation:
space group	Pm-3n (223)
electronic total energy	-4.916	eV per atom

---

VASP calculation (PBE) on crystalline VW2Br at its relaxed geometry.

Lattice parameters (Å, degrees): 3.733 3.733 10.579 79.84 79.84 90.00
Sites, in units of the cell vectors:
W 0.612 0.125 0.250
W 0.138 0.625 0.250
W 0.375 0.388 0.750
W 0.875 0.862 0.750
Br 0.000 0.000 0.000
Br 0.750 0.250 0.500
V 0.500 0.500 0.000
V 0.250 0.750 0.500

Values from the calculation:
space group	I-42d (122)
distance to the lowest polymorph of the same formula	0.006	eV/atom

---

VASP calculation (PBE) on crystalline VWBr2 at its relaxed geometry.

Lattice parameters (Å, degrees): 4.363 4.363 8.775 75.61 75.61 90.00
Sites, in units of the cell vectors:
W 0.000 0.000 0.000
W 0.750 0.250 0.500
Br 0.624 0.125 0.250
Br 0.126 0.625 0.250
Br 0.375 0.376 0.750
Br 0.875 0.874 0.750
V 0.500 0.500 0.000
V 0.250 0.750 0.500

Values from the calculation:
space group	I-42d (122)
distance to the lowest polymorph of the same formula	0.245	eV/atom

---

VASP calculation (PBE) on crystalline VW3Br at its relaxed geometry.

Lattice parameters (Å, degrees): 4.584 4.584 4.584 90.00 90.00 90.00
Sites, in units of the cell vectors:
W 0.000 0.500 0.000
W 0.000 0.000 0.500
W 0.500 0.000 0.000
Br 0.000 0.000 0.000
V 0.500 0.500 0.500

Values from the calculation:
space group	Pm-3m (221)
distance to the lowest polymorph of the same formula	0.118	eV/atom

---

Number 1: size of the total moment 0.0 μB per formula unit. Number 2: size of the total moment 1.0 μB per formula unit. Number 3: size of the total moment 4.0 μB per formula unit. Number 4: size of the total moment 1.7 μB per formula unit. Number 5: size of the total moment 0.8 μB per formula unit. Number 6: size of the total moment 2.6 μB per formula unit.